No. 1
{
  "formula": "BeTl2Cd",
  "functional": "PBE",
  "state": "relaxed",
  "cell": [[-5.194, 2.133, 1.600], [-4.659, -3.114, -1.637], [5.077, -1.121, 2.655]],
  "species": ["Be", "Tl", "Tl", "Cd"],
  "frac_coords": [[0.500, 0.500, 0.000], [0.000, 0.000, 0.000], [0.250, 0.750, 0.500], [0.750, 0.250, 0.500]],
  "n_ef_per_ev_atom": 0.441,
  "volume_a3_per_cell": 95,
  "formation_enthalpy_0k_mev_per_atom": 538,
  "e_tot_ev_per_atom": -1.805,
  "polymorph_energy_mev_per_atom": 197
}


No. 2
{
  "formula": "BeTl4Cd",
  "functional": "PBE",
  "state": "relaxed",
  "cell": [[0.000, 4.526, 4.526], [4.526, 0.000, 4.526], [4.526, 4.526, 0.000]],
  "species": ["Tl", "Be", "Tl", "Tl", "Cd", "Tl"],
  "frac_coords": [[0.375, 0.375, 0.874], [0.750, 0.750, 0.750], [0.375, 0.874, 0.375], [0.375, 0.375, 0.375], [0.000, 0.000, 0.000], [0.874, 0.375, 0.375]],
  "n_ef_per_ev_atom": 0.730,
  "volume_a3_per_cell": 185,
  "formation_enthalpy_0k_mev_per_atom": 625,
  "e_tot_ev_per_atom": -1.726
}


No. 3
{
  "formula": "BeTl2Cd2",
  "functional": "PBE",
  "state": "relaxed",
  "cell": [[6.689, 0.000, 0.000], [0.000, 6.689, 0.000], [0.000, 0.000, 5.599]],
  "species": ["Tl", "Be", "Cd", "Tl", "Tl", "Cd", "Be", "Cd", "Cd", "Tl"],
  "frac_coords": [[0.823, 0.323, 0.500], [0.500, 0.500, 0.000], [0.834, 0.666, 0.000], [0.677, 0.823, 0.500], [0.177, 0.677, 0.500], [0.334, 0.834, 0.000], [0.000, 0.000, 0.000], [0.166, 0.334, 0.000], [0.666, 0.166, 0.000], [0.323, 0.177, 0.500]],
  "n_ef_per_ev_atom": 0.394,
  "volume_a3_per_cell": 251,
  "formation_enthalpy_0k_mev_per_atom": 329,
  "e_tot_ev_per_atom": -1.728
}


No. 4
{
  "formula": "BeTl2Cd",
  "functional": "PBE",
  "state": "relaxed",
  "cell": [[-0.861, 4.409, -1.344], [-2.431, -1.597, -3.682], [-3.576, 0.019, 2.353]],
  "species": ["Tl", "Cd", "Be", "Tl"],
  "frac_coords": [[0.500, 0.500, 0.000], [0.000, 0.500, 0.500], [0.500, 0.000, 0.500], [0.000, 0.000, 0.000]],
  "n_ef_per_ev_atom": 0.231,
  "volume_a3_per_cell": 94,
  "formation_enthalpy_0k_mev_per_atom": 528,
  "e_tot_ev_per_atom": -1.815,
  "polymorph_energy_mev_per_atom": 187
}


No. 5
{
  "formula": "BeTl2Cd",
  "functional": "PBE",
  "state": "relaxed",
  "cell": [[-2.493, -4.239, 1.492], [-4.721, -0.967, -1.784], [-0.752, -3.844, -3.327]],
  "species": ["Cd", "Be", "Tl", "Tl"],
  "frac_coords": [[0.500, 0.500, 0.500], [0.000, 0.000, 0.000], [0.750, 0.750, 0.750], [0.250, 0.250, 0.250]],
  "n_ef_per_ev_atom": 0.296,
  "volume_a3_per_cell": 96,
  "formation_enthalpy_0k_mev_per_atom": 540,
  "e_tot_ev_per_atom": -1.804,
  "polymorph_energy_mev_per_atom": 198
}


No. 6
{
  "formula": "Be3TlCd",
  "functional": "PBE",
  "state": "relaxed",
  "cell": [[4.631, 0.000, 0.000], [0.000, 4.631, 0.000], [0.000, 0.000, 4.631]],
  "species": ["Cd", "Be", "Be", "Tl", "Be"],
  "frac_coords": [[0.500, 0.500, 0.500], [0.000, 0.500, 0.000], [0.000, 0.000, 0.500], [0.000, 0.000, 0.000], [0.500, 0.000, 0.000]],
  "n_ef_per_ev_atom": 0.292,
  "volume_a3_per_cell": 99,
  "formation_enthalpy_0k_mev_per_atom": 1140,
  "e_tot_ev_per_atom": -1.752,
  "polymorph_energy_mev_per_atom": 172
}